[1]
Density functional theory data (PBE) for a relaxed NdDy5Tl3 crystal.

The density of states at the Fermi level is 10.8 states/eV/f.u. As for the formation energy from the elements: -0.260 eV per atom. The value obtained for the total energy is -4.14 eV/atom. Its calculated density is 10.05 g cm⁻³. The crystal system is hexagonal.

The space group is P6_3/mcm (No. 193) and the conventional cell measures 9.4181, 9.4181 and 6.7494 Å, with angles of 90.00, 90.00 and 120.00 degrees. The inequivalent atoms are Nd at (0.0000, 0.0000, 0.0000), Dy at (0.0000, 0.3301, 0.2500), Dy at (0.3333, 0.6667, 0.0000) and Tl at (0.0000, 0.3399, 0.7500).


[2]
Density functional theory data (PBE) for a relaxed Nd7Dy12Tl crystal.

The density of states at the Fermi level is 34.5 states/eV/f.u. As for the formation energy from the elements: 0.174 eV per atom. The value obtained for the total energy is -4.37 eV/atom. Its calculated density is 7.76 g cm⁻³. The crystal system is trigonal.

The space group is R-3 (No. 148, hexagonal axes) and the conventional cell measures 12.3360, 12.3360 and 15.4078 Å, with angles of 90.00, 90.00 and 120.00 degrees. The inequivalent atoms are Nd at (0.0000, 0.0000, 0.0000), Nd at (0.0134, 0.4333, 0.7011), Dy at (0.0325, 0.1863, 0.8084), Dy at (0.0709, 0.8125, 0.4241) and Tl at (0.0000, 0.0000, 0.5000).


[3]
Density functional theory data (PBE) for a relaxed NdDy5Tl6 crystal.

The density of states at the Fermi level is 11.0 states/eV/f.u. As for the formation energy from the elements: -0.253 eV per atom. The value obtained for the total energy is -3.75 eV/atom. Its calculated density is 10.13 g cm⁻³. The crystal system is monoclinic. The value obtained for the energy above the most stable polymorph in this dataset is 0.094 eV per atom.

The space group is C2/m (No. 12) and the conventional cell measures 9.7952, 11.2988 and 6.6302 Å, with angles of 90.00, 102.68 and 90.00 degrees. The inequivalent atoms are Nd at (0.0000, 0.0000, 0.0000), Dy at (0.0000, 0.1662, 0.5000), Dy at (0.0000, 0.3353, 0.0000), Dy at (0.0000, 0.5000, 0.5000), Tl at (0.2477, 0.3295, 0.7457) and Tl at (0.2481, 0.5000, 0.2574).


[4]
Density functional theory data (PBE) for a relaxed Nd12Dy3Tl crystal.

The density of states at the Fermi level is 22.3 states/eV/f.u. As for the formation energy from the elements: -0.033 eV per atom. The value obtained for the total energy is -4.62 eV/atom. Its calculated density is 7.49 g cm⁻³. The crystal system is tetragonal.

The space group is P4/mmm (No. 123) and the conventional cell measures 5.0936, 5.0936 and 20.6939 Å, with angles of 90.00, 90.00 and 90.00 degrees. The inequivalent atoms are Nd at (0.0000, 0.0000, 0.0000), Nd at (0.0000, 0.0000, 0.2471), Nd at (0.0000, 0.0000, 0.5000), Nd at (0.0000, 0.5000, 0.1217), Nd at (0.0000, 0.5000, 0.3739), Dy at (0.5000, 0.5000, 0.2485), Dy at (0.5000, 0.5000, 0.5000) and Tl at (0.5000, 0.5000, 0.0000).


[5]
Density functional theory data (PBE) for a relaxed NdDy7Tl4 crystal.

The density of states at the Fermi level is 12.6 states/eV/f.u. As for the formation energy from the elements: -0.022 eV per atom. The value obtained for the total energy is -3.89 eV/atom. Its calculated density is 9.57 g cm⁻³. The crystal system is monoclinic.

The space group is C2/m (No. 12) and the conventional cell measures 14.7185, 5.7440 and 10.2708 Å, with angles of 90.00, 122.97 and 90.00 degrees. The inequivalent atoms are Nd at (0.0000, 0.0000, 0.0000), Dy at (0.0000, 0.5000, 0.0000), Dy at (0.0635, 0.0000, 0.3989), Dy at (0.2078, 0.0000, 0.8783), Dy at (0.2272, 0.5000, 0.6671), Tl at (0.0590, 0.5000, 0.7465) and Tl at (0.1862, 0.5000, 0.3337).


[6]
Density functional theory data (PBE) for a relaxed Nd2DyTl crystal.

The density of states at the Fermi level is 6.1 states/eV/f.u. As for the formation energy from the elements: -0.195 eV per atom. The value obtained for the total energy is -4.32 eV/atom. Its calculated density is 8.97 g cm⁻³. The crystal system is tetragonal. The value obtained for the energy above the most stable polymorph in this dataset is 0.000 eV per atom.

The space group is P4/mmm (No. 123) and the conventional cell measures 4.9123, 4.9123 and 5.0264 Å, with angles of 90.00, 90.00 and 90.00 degrees. The inequivalent atoms are Nd at (0.0000, 0.5000, 0.0000), Dy at (0.0000, 0.0000, 0.5000) and Tl at (0.5000, 0.5000, 0.5000).


[7]
Density functional theory data (PBE) for a relaxed NdDy2Tl crystal.

The density of states at the Fermi level is 4.2 states/eV/f.u. As for the formation energy from the elements: -0.115 eV per atom. The value obtained for the total energy is -4.20 eV/atom. Its calculated density is 9.02 g cm⁻³. The crystal system is trigonal. The value obtained for the energy above the most stable polymorph in this dataset is 0.069 eV per atom.

The space group is R-3m (No. 166, hexagonal axes) and the conventional cell measures 3.6025, 3.6025 and 33.1188 Å, with angles of 90.00, 90.00 and 120.00 degrees. The inequivalent atoms are Nd at (0.0000, 0.0000, 0.0000), Dy at (0.0000, 0.0000, 0.2452) and Tl at (0.0000, 0.0000, 0.5000).


[8]
Density functional theory data (PBE) for a relaxed Nd3DyTl crystal.

The density of states at the Fermi level is 8.0 states/eV/f.u. As for the formation energy from the elements: 0.167 eV per atom. The value obtained for the total energy is -4.09 eV/atom. Its calculated density is 7.33 g cm⁻³. The crystal system is monoclinic. The value obtained for the energy above the most stable polymorph in this dataset is 0.297 eV per atom.

The space group is C2/m (No. 12) and the conventional cell measures 14.8634, 8.2453 and 6.4198 Å, with angles of 90.00, 112.90 and 90.00 degrees. The inequivalent atoms are Nd at (0.0000, 0.0000, 0.0000), Nd at (0.0000, 0.1904, 0.5000), Nd at (0.0000, 0.5000, 0.0000), Nd at (0.2145, 0.0000, 0.5020), Dy at (0.2500, 0.2500, 0.0000) and Tl at (0.1183, 0.5000, 0.6577).